Here is Cs2CrHgSe4 after structural relaxation from Alexandria via LeMat-Bulk. Energies are from PBE-GGA.

Its symmetry is Fddd. As for the crystal system: orthorhombic. Its uncorrected formation energy is -0.67 eV per atom.

Unit cell a=7.387 b=7.573 c=12.875 alpha=81.96 beta=73.33 gamma=60.81
Positions (direct):
Cs (0.178, 0.000, 0.645)
Cs (0.822, 0.000, 0.355)
Cs (0.572, 0.500, 0.855)
Cs (0.928, 0.500, 0.145)
Cr (0.250, 0.500, 0.500)
Cr (0.500, 0.000, 0.000)
Hg (0.750, 0.500, 0.500)
Hg (0.000, 0.000, 0.000)
Se (0.352, 0.815, 0.103)
Se (0.270, 0.185, 0.897)
Se (0.833, 0.815, 0.897)
Se (0.545, 0.185, 0.103)
Se (0.398, 0.685, 0.397)
Se (0.480, 0.315, 0.603)
Se (0.917, 0.685, 0.603)
Se (0.205, 0.315, 0.397)